Entry from Alexandria via LeMat-Bulk: a geometry-optimized CoRuSe2N structure (PBE).

abc: 4.814 4.814 3.303
angles: 90.00 90.00 90.00
Atoms (fractional coordinates):
Co 0.000 0.000 0.000
N 0.000 0.000 0.500
Se 0.500 0.000 0.000
Se 0.000 0.500 0.000
Ru 0.500 0.500 0.500

## Properties
**DOS(E_F)**: 1.08 states/eV per atom
**Space-group type**: P4/mmm, No. 123
**Formation energy (no corrections)**: 0.6454 eV per atom



Entry from Alexandria via LeMat-Bulk: a geometry-optimized Tm4GaTe2S structure (PBE).

abc: 4.076 7.141 7.385
angles: 108.64 90.00 90.00
Atoms (fractional coordinates):
Te 0.500 0.000 0.500
Te 0.000 0.500 0.500
S 0.000 0.000 0.000
Tm 0.000 0.738 0.220
Tm 0.000 0.262 0.780
Tm 0.500 0.240 0.212
Tm 0.500 0.760 0.788
Ga 0.500 0.500 0.000

## Properties
**DOS(E_F)**: 0.34 states/eV per atom
**Space-group type**: P2/m, No. 10
**Formation energy (no corrections)**: -1.2602 eV per atom



Entry from Alexandria via LeMat-Bulk: a geometry-optimized CaPmY2Te4 structure (PBE).

abc: 4.391 7.653 7.694
angles: 70.98 90.00 90.00
Atoms (fractional coordinates):
Pm 0.500 0.500 0.000
Y 0.000 0.000 0.000
Y 0.500 0.000 0.500
Te 0.500 0.755 0.250
Te 0.500 0.245 0.750
Te 0.000 0.756 0.745
Te 0.000 0.244 0.255
Ca 0.000 0.500 0.500

## Properties
**DOS(E_F)**: 0.48 states/eV per atom
**Space-group type**: P2/m, No. 10
**Formation energy (no corrections)**: -1.4116 eV per atom



Entry from Alexandria via LeMat-Bulk: a geometry-optimized CdO3 structure (PBE).

abc: 4.092 4.092 5.903
angles: 90.00 90.00 93.27
Atoms (fractional coordinates):
O 0.727 0.014 0.638
O 0.524 0.524 0.000
O 0.514 0.227 0.138
O 0.024 0.024 0.500
O 0.014 0.727 0.362
O 0.227 0.514 0.862
Cd 0.990 0.990 0.000
Cd 0.490 0.490 0.500

## Properties
**DOS(E_F)**: 0.00 states/eV per atom
**Space-group type**: Aea2, No. 41
**Formation energy (no corrections)**: -0.2872 eV per atom



Entry from Alexandria via LeMat-Bulk: a geometry-optimized Hf2NbGe structure (PBE).

abc: 3.654 4.558 4.558
angles: 90.00 90.00 90.00
Atoms (fractional coordinates):
Ge 0.500 0.000 0.000
Nb 0.500 0.500 0.500
Hf 0.000 0.500 0.000
Hf 0.000 0.000 0.500

## Properties
**DOS(E_F)**: 1.18 states/eV per atom
**ΔH_f (0 K)**: -0.314 eV/atom
**Space-group type**: P4/mmm, No. 123



Entry from Alexandria via LeMat-Bulk: a geometry-optimized CdSi2Se structure (PBE).

abc: 3.939 4.202 6.062
angles: 89.30 90.00 90.00
Atoms (fractional coordinates):
Cd 0.000 0.625 0.470
Si 0.000 0.125 0.226
Si 0.500 0.135 0.015
Se 0.500 0.616 0.789

## Properties
**DOS(E_F)**: 0.13 states/eV per atom
**Space-group type**: Pm, No. 6
**Formation energy (no corrections)**: 0.0315 eV per atom



Entry from Alexandria via LeMat-Bulk: a geometry-optimized Rb2ThTaO6 structure (PBE).

abc: 6.148 6.148 8.691
angles: 90.00 90.00 90.00
Last column: magnetic moment on the atom in μB.
Atoms (fractional coordinates):
O 0.732 0.482 0.500  0.16
O 0.232 0.518 0.000  0.16
O 0.232 0.982 0.000  0.16
O 0.000 0.750 0.768  0.16
O 0.000 0.750 0.232  0.16
O 0.500 0.250 0.732  0.16
O 0.500 0.250 0.268  0.16
O 0.268 0.482 0.500  0.16
O 0.268 0.018 0.500  0.16
O 0.768 0.518 0.000  0.16
O 0.732 0.018 0.500  0.16
O 0.768 0.982 0.000  0.16
Rb 0.500 0.750 0.250  0.00
Rb 0.500 0.750 0.750  0.00
Rb 0.000 0.250 0.750  0.00
Rb 0.000 0.250 0.250  0.00
Ta 0.000 0.750 0.000  -0.05
Ta 0.500 0.250 0.500  -0.05
Th 0.500 0.250 0.000  -0.02
Th 0.000 0.750 0.500  -0.02

## Properties
**DOS(E_F)**: 0.65 states/eV per atom
**Space-group type**: Fm-3m, No. 225
**Formation energy (no corrections)**: -2.6107 eV per atom



Entry from Alexandria via LeMat-Bulk: a geometry-optimized Tl2TePt structure (PBE).

abc: 7.830 7.830 4.318
angles: 74.21 74.21 26.53
Atoms (fractional coordinates):
Pt 0.250 0.250 0.250
Tl 0.576 0.576 0.424
Tl 0.924 0.924 0.076
Te 0.750 0.750 0.750

## Properties
**DOS(E_F)**: 0.30 states/eV per atom
**Space-group type**: C2/m, No. 12
**Formation energy (no corrections)**: -0.1042 eV per atom



Entry from Alexandria via LeMat-Bulk: a geometry-optimized Pm2Ni2Pb structure (PBE).

abc: 3.704 4.183 7.559
angles: 106.06 90.00 90.00
Atoms (fractional coordinates):
Ni 0.000 0.797 0.593
Ni 0.000 0.203 0.407
Pm 0.500 0.640 0.280
Pm 0.500 0.360 0.720
Pb 0.000 0.000 0.000

## Properties
**DOS(E_F)**: 0.76 states/eV per atom
**ΔH_f (0 K)**: -0.460 eV/atom
**Space-group type**: Cmmm, No. 65



Entry from Alexandria via LeMat-Bulk: a geometry-optimized MnTlCr4 structure (PBE).

abc: 4.864 4.864 4.864
angles: 60.00 60.00 60.00
Last column: magnetic moment on the atom in μB.
Atoms (fractional coordinates):
Cr 0.876 0.375 0.375  -0.25
Cr 0.375 0.375 0.375  -0.25
Cr 0.375 0.876 0.375  -0.25
Cr 0.375 0.375 0.876  -0.25
Mn 0.750 0.750 0.750  2.53
Tl 0.000 0.000 0.000  -0.03

## Properties
**DOS(E_F)**: 0.79 states/eV per atom
**ΔH_f (0 K)**: 0.467 eV/atom
**Space-group type**: F-43m, No. 216



Entry from Alexandria via LeMat-Bulk: a geometry-optimized Ho3TlRh2 structure (PBE).

abc: 3.371 3.371 11.884
angles: 90.00 90.00 90.00
Atoms (fractional coordinates):
Ho 0.000 0.000 0.000
Ho 0.000 0.000 0.291
Ho 0.000 0.000 0.709
Rh 0.500 0.500 0.150
Rh 0.500 0.500 0.850
Tl 0.500 0.500 0.500

## Properties
**DOS(E_F)**: 0.63 states/eV per atom
**ΔH_f (0 K)**: -0.710 eV/atom
**Space-group type**: P4/mmm, No. 123



Entry from Alexandria via LeMat-Bulk: a geometry-optimized MnHPd3 structure (PBE).

abc: 3.840 3.840 6.121
angles: 90.00 90.00 90.00
Last column: magnetic moment on the atom in μB.
Atoms (fractional coordinates):
H 0.500 0.500 0.446  0.00
Pd 0.000 0.000 0.767  0.06
Pd 0.000 0.500 0.446  0.12
Pd 0.500 0.000 0.446  0.03
Mn 0.000 0.000 0.158  3.98

## Properties
**DOS(E_F)**: 0.81 states/eV per atom
**Space-group type**: P4mm, No. 99



Entry from Alexandria via LeMat-Bulk: a geometry-optimized TlCd2NiPb structure (PBE).

abc: 5.126 5.126 5.000
angles: 90.00 90.00 90.00
Atoms (fractional coordinates):
Cd 0.000 0.500 0.000
Cd 0.500 0.000 0.000
Pb 0.000 0.000 0.500
Tl 0.500 0.500 0.500
Ni 0.000 0.000 0.000

## Properties
**DOS(E_F)**: 0.37 states/eV per atom
**ΔH_f (0 K)**: 0.081 eV/atom
**Space-group type**: P4/mmm, No. 123



Entry from Alexandria via LeMat-Bulk: a geometry-optimized Ba3PmTe4 structure (PBE).

abc: 4.817 8.415 8.415
angles: 109.09 90.00 90.00
Atoms (fractional coordinates):
Pm 0.500 0.000 0.000
Te 0.500 0.237 0.763
Te 0.000 0.772 0.772
Te 0.000 0.228 0.228
Te 0.500 0.763 0.237
Ba 0.000 0.500 0.000
Ba 0.000 0.000 0.500
Ba 0.500 0.500 0.500

## Properties
**DOS(E_F)**: 0.35 states/eV per atom
**Space-group type**: Cmmm, No. 65
**Formation energy (no corrections)**: -1.6538 eV per atom



Entry from Alexandria via LeMat-Bulk: a geometry-optimized CaYTl structure (PBE).

abc: 9.045 3.804 5.608
angles: 90.00 71.93 89.99
Atoms (fractional coordinates):
Tl 0.373 0.558 0.663
Tl 0.778 0.558 0.959
Ca 0.712 0.059 0.497
Ca 0.439 0.058 0.134
Y 0.076 0.558 0.389
Y 0.075 0.058 0.882

## Properties
**DOS(E_F)**: 1.04 states/eV per atom
**ΔH_f (0 K)**: -0.245 eV/atom
**Space-group type**: Pm, No. 6



Entry from Alexandria via LeMat-Bulk: a geometry-optimized TaCo structure (PBE).

abc: 2.855 2.855 4.158
angles: 90.00 90.00 120.00
Last column: magnetic moment on the atom in μB.
Atoms (fractional coordinates):
Co 0.000 0.000 0.000  0.76
Ta 0.333 0.667 0.500  0.04

## Properties
**DOS(E_F)**: 1.57 states/eV per atom
**ΔH_f (0 K)**: 0.175 eV/atom
**Space-group type**: P-6m2, No. 187



Entry from Alexandria via LeMat-Bulk: a geometry-optimized SrLiPb2 structure (PBE).

abc: 4.191 4.191 7.160
angles: 90.00 90.00 90.01
Atoms (fractional coordinates):
Pb 0.500 0.500 0.211
Pb 0.000 0.000 0.985
Li 0.500 0.500 0.811
Sr 0.000 0.000 0.492

## Properties
**DOS(E_F)**: 0.85 states/eV per atom
**ΔH_f (0 K)**: -0.211 eV/atom
**Space-group type**: P4mm, No. 99



Entry from Alexandria via LeMat-Bulk: a geometry-optimized KScBe2 structure (PBE).

abc: 3.966 3.278 7.669
angles: 77.77 90.00 90.00
Atoms (fractional coordinates):
K 0.000 0.471 0.440
Be 0.500 0.117 0.139
Be 0.000 0.172 0.030
Sc 0.500 0.740 0.891

## Properties
**DOS(E_F)**: 0.56 states/eV per atom
**ΔH_f (0 K)**: 0.553 eV/atom
**Space-group type**: Pm, No. 6



Entry from Alexandria via LeMat-Bulk: a geometry-optimized ThSeS structure (PBE).

abc: 3.732 4.970 10.417
angles: 90.00 100.32 90.00
Atoms (fractional coordinates):
Se 0.949 0.250 0.399
Se 0.051 0.750 0.601
S 0.823 0.750 0.146
S 0.177 0.250 0.854
Th 0.588 0.250 0.675
Th 0.412 0.750 0.325

## Properties
**Space-group type**: Cmcm, No. 63
**Formation energy (no corrections)**: -1.4668 eV per atom



Entry from Alexandria via LeMat-Bulk: a geometry-optimized HoErAg2 structure (PBE).

abc: 5.110 5.110 5.110
angles: 60.00 60.00 60.00
Atoms (fractional coordinates):
Ag 0.750 0.750 0.750
Ag 0.250 0.250 0.250
Ho 0.000 0.000 0.000
Er 0.500 0.500 0.500

## Properties
**DOS(E_F)**: 0.58 states/eV per atom
**ΔH_f (0 K)**: -0.328 eV/atom
**Space-group type**: Fm-3m, No. 225



Entry from Alexandria via LeMat-Bulk: a geometry-optimized Ac5N4O structure (PBE).

abc: 3.894 5.503 10.305
angles: 105.49 100.89 90.00
Atoms (fractional coordinates):
N 0.598 0.598 0.196
N 0.402 0.402 0.804
N 0.195 0.195 0.390
N 0.805 0.805 0.610
Ac 0.000 0.500 0.000
Ac 0.603 0.103 0.205
Ac 0.200 0.700 0.399
Ac 0.397 0.897 0.795
Ac 0.800 0.300 0.601
O 0.000 0.000 0.000

## Properties
**DOS(E_F)**: 0.19 states/eV per atom
**Space-group type**: Immm, No. 71
**Formation energy (no corrections)**: -1.4298 eV per atom



Entry from Alexandria via LeMat-Bulk: a geometry-optimized AlBPd3 structure (PBE).

abc: 4.530 4.530 4.530
angles: 90.00 90.00 90.00
Atoms (fractional coordinates):
Al 0.000 0.000 0.000
Pd 0.500 0.000 0.000
Pd 0.000 0.000 0.500
Pd 0.000 0.500 0.000
B 0.500 0.500 0.500

## Properties
**DOS(E_F)**: 1.03 states/eV per atom
**ΔH_f (0 K)**: 1.074 eV/atom
**Space-group type**: Pm-3m, No. 221



Entry from Alexandria via LeMat-Bulk: a geometry-optimized Ta2AlAs structure (PBE).

abc: 4.100 2.969 5.749
angles: 77.09 90.00 90.00
Atoms (fractional coordinates):
As 0.500 0.750 0.750
Al 0.500 0.250 0.250
Ta 0.000 0.955 0.001
Ta 0.000 0.545 0.499

## Properties
**DOS(E_F)**: 0.43 states/eV per atom
**ΔH_f (0 K)**: -0.082 eV/atom
**Space-group type**: P2/m, No. 10



Entry from Alexandria via LeMat-Bulk: a geometry-optimized AcNd3Zn2 structure (PBE).

abc: 3.740 3.740 12.767
angles: 90.00 90.00 90.00
Atoms (fractional coordinates):
Zn 0.500 0.500 0.141
Zn 0.500 0.500 0.859
Nd 0.000 0.000 0.719
Nd 0.000 0.000 0.000
Nd 0.000 0.000 0.281
Ac 0.500 0.500 0.500

## Properties
**DOS(E_F)**: 1.14 states/eV per atom
**ΔH_f (0 K)**: -0.202 eV/atom
**Space-group type**: P4/mmm, No. 123



Entry from Alexandria via LeMat-Bulk: a geometry-optimized PaSbPdN structure (PBE).

abc: 4.180 4.180 10.831
angles: 78.87 78.87 60.00
Atoms (fractional coordinates):
Pa 0.877 0.877 0.370
Pa 0.123 0.123 0.630
Pd 0.603 0.603 0.191
Pd 0.397 0.397 0.809
N 0.191 0.191 0.427
N 0.809 0.809 0.573
Sb 0.298 0.298 0.106
Sb 0.702 0.702 0.894

## Properties
**DOS(E_F)**: 0.66 states/eV per atom
**Space-group type**: R-3m, No. 166
**Formation energy (no corrections)**: -0.8506 eV per atom



Entry from Alexandria via LeMat-Bulk: a geometry-optimized CrMoBr2 structure (PBE).

abc: 3.351 6.031 4.320
angles: 90.00 90.00 90.00
Last column: magnetic moment on the atom in μB.
Atoms (fractional coordinates):
Mo 0.000 0.500 0.500  -2.82
Cr 0.500 0.000 0.500  3.91
Br 0.500 0.500 0.000  -0.02
Br 0.000 0.000 0.000  -0.05

## Properties
**DOS(E_F)**: 0.40 states/eV per atom
**Space-group type**: Pmmm, No. 47
**Formation energy (no corrections)**: 0.6755 eV per atom



Entry from Alexandria via LeMat-Bulk: a geometry-optimized BN structure (PBE).

abc: 3.888 3.888 3.888
angles: 96.52 96.52 140.61
Atoms (fractional coordinates):
N 0.500 0.500 0.000
B 0.000 0.000 0.000

## Properties
**DOS(E_F)**: 0.00 states/eV per atom
**Space-group type**: I4/mmm, No. 139
**Formation energy (no corrections)**: -0.4874 eV per atom



In Ha/atom, the VASP energy values for the records above are, in order, -0.209, -0.190, -0.200, -0.156, -0.329, -0.139, -0.283, -0.132, -0.199, -0.289, -0.215, -0.193, -0.098, -0.167, -0.142, -0.342, -0.109, -0.116, -0.238, -0.148, -0.269, -0.152, -0.298, -0.136, -0.281, -0.194, -0.294.